Computed, not measured: a crystal of Li3MnSb relaxed with PBEsol at the meta-GGA SCAN level of DFT.

Properties
total moment	1.019	μB per atom
uncorrected energy	-12.44	eV per atom
SG	Pm-3m
V	132	Å³/cell

```
data_Li3MnSb
_chemical_formula_sum 'Li3 Mn1 Sb1'
_symmetry_space_group_name_H-M 'P 1'
_symmetry_Int_Tables_number 1
_symmetry_space_group_name_Hall 'P 1'
_cell_length_a 5.088
_cell_length_b 5.088
_cell_length_c 5.088
_cell_angle_alpha 90.00
_cell_angle_beta 90.00
_cell_angle_gamma 90.00
loop_
_atom_site_label
_atom_site_type_symbol
_atom_site_fract_x
_atom_site_fract_y
_atom_site_fract_z
_atom_site_occupancy
Sb1 Sb 0.000 0.000 0.000 1
Mn1 Mn 0.500 0.500 0.500 1
Li1 Li 0.000 0.000 0.500 1
Li2 Li 0.500 0.000 0.000 1
Li3 Li 0.000 0.500 0.000 1
```

Computed, not measured: a crystal of Rb3BaSb relaxed with PBEsol at the meta-GGA SCAN level of DFT.

Properties
total moment	0.000	μB per atom
uncorrected energy	-27.81	eV per atom
SG	Pm-3m
ΔE to the lowest computed polymorph	0	meV/atom
V	348	Å³/cell

```
data_Rb3BaSb
_chemical_formula_sum 'Rb3 Ba1 Sb1'
_symmetry_space_group_name_H-M 'P 1'
_symmetry_Int_Tables_number 1
_symmetry_space_group_name_Hall 'P 1'
_cell_length_a 7.034
_cell_length_b 7.034
_cell_length_c 7.034
_cell_angle_alpha 90.00
_cell_angle_beta 90.00
_cell_angle_gamma 90.00
loop_
_atom_site_label
_atom_site_type_symbol
_atom_site_fract_x
_atom_site_fract_y
_atom_site_fract_z
_atom_site_occupancy
Rb1 Rb 0.500 0.000 0.000 1
Rb2 Rb 0.000 0.500 0.000 1
Rb3 Rb 0.000 0.000 0.500 1
Ba1 Ba 0.500 0.500 0.500 1
Sb1 Sb 0.000 0.000 0.000 1
```

Computed, not measured: a crystal of CdBr5 relaxed with PBEsol at the meta-GGA SCAN level of DFT.

Properties
total moment	0.000	μB per atom
uncorrected energy	-21.16	eV per atom
SG	P6/mmm
V	196	Å³/cell

```
data_CdBr5
_chemical_formula_sum 'Cd1 Br5'
_symmetry_space_group_name_H-M 'P 1'
_symmetry_Int_Tables_number 1
_symmetry_space_group_name_Hall 'P 1'
_cell_length_a 5.454
_cell_length_b 5.454
_cell_length_c 7.591
_cell_angle_alpha 90.00
_cell_angle_beta 90.00
_cell_angle_gamma 120.00
loop_
_atom_site_label
_atom_site_type_symbol
_atom_site_fract_x
_atom_site_fract_y
_atom_site_fract_z
_atom_site_occupancy
Cd1 Cd 0.000 0.000 0.000 1
Br1 Br 0.500 0.500 0.500 1
Br2 Br 0.500 0.000 0.500 1
Br3 Br 0.333 0.667 0.000 1
Br4 Br 0.667 0.333 0.000 1
Br5 Br 0.000 0.500 0.500 1
```